{
  "formula": "Rb3Cd2Ag3",
  "functional": "PBE",
  "state": "relaxed",
  "ef_mev_per_atom": 3,
  "m_tot_mub_per_cell": 0.000,
  "polymorph_energy_mev_per_atom": 0,
  "sg": "Cmcm, No. 63",
  "lattice_angstrom": [[-4.464, -1.693, -1.974], [0.596, -1.415, 6.626], [-7.223, 14.644, 3.776]],
  "species": ["Rb", "Rb", "Rb", "Rb", "Rb", "Rb", "Cd", "Cd", "Cd", "Cd", "Ag", "Ag", "Ag", "Ag", "Ag", "Ag"],
  "frac_coords": [[0.912, 0.824, 0.386], [0.088, 0.176, 0.886], [0.912, 0.824, 0.114], [0.088, 0.176, 0.614], [0.608, 0.216, 0.250], [0.392, 0.784, 0.750], [0.792, 0.583, 0.916], [0.208, 0.417, 0.416], [0.792, 0.583, 0.584], [0.208, 0.417, 0.084], [0.609, 0.218, 0.467], [0.391, 0.782, 0.967], [0.609, 0.218, 0.033], [0.391, 0.782, 0.533], [0.293, 0.586, 0.250], [0.707, 0.414, 0.750]]
}